Computed, not measured: an optimized crystal structure of ZnGa2Ag9 at the PBE level of DFT.

Output
- space group = P4/mmm

Cell lengths 4.108, 4.108, 12.323 Å; angles 90.00, 90.00, 90.00 degrees
Fractional coordinates of all 12 atoms:
1 Ga 0.000 0.000 0.332
2 Ga 0.000 0.000 0.668
3 Ag 0.500 0.000 0.500
4 Ag 0.000 0.500 0.500
5 Ag 0.500 0.500 0.667
6 Ag 0.000 0.500 0.165
7 Ag 0.500 0.500 0.000
8 Ag 0.500 0.000 0.835
9 Ag 0.000 0.500 0.835
10 Ag 0.500 0.000 0.165
11 Ag 0.500 0.500 0.333
12 Zn 0.000 0.000 0.000

***

Computed, not measured: an optimized crystal structure of Zn2Ga4Ag3 at the PBE level of DFT.

Output
- energy above the most stable polymorph in this dataset (meV/atom) = 0
- space group = P3m1

Cell lengths 3.004, 3.004, 20.319 Å; angles 90.00, 90.00, 120.00 degrees
Fractional coordinates of all 9 atoms:
1 Ag 0.000 0.000 0.319
2 Ag 0.000 0.000 0.982
3 Ag 0.667 0.333 0.658
4 Zn 0.667 0.333 0.876
5 Zn 0.667 0.333 0.087
6 Ga 0.667 0.333 0.209
7 Ga 0.000 0.000 0.770
8 Ga 0.667 0.333 0.432
9 Ga 0.000 0.000 0.544

***

Computed, not measured: an optimized crystal structure of ZrZnGaAg at the PBE level of DFT.

Output
- space group = F-43m

Cell lengths 4.631, 4.631, 4.631 Å; angles 60.00, 60.00, 60.00 degrees
Fractional coordinates of all 4 atoms:
1 Ga 0.750 0.750 0.750
2 Ag 0.500 0.500 0.500
3 Zr 0.000 0.000 0.000
4 Zn 0.250 0.250 0.250

***

Computed, not measured: an optimized crystal structure of Zr2GaAg2 at the PBE level of DFT.

Output
- energy above the most stable polymorph in this dataset (meV/atom) = 148
- space group = P4/mbm

Cell lengths 8.018, 8.018, 3.287 Å; angles 90.00, 90.00, 90.00 degrees
Fractional coordinates of all 10 atoms:
1 Ga 0.500 0.500 0.000
2 Ga 0.000 0.000 0.000
3 Zr 0.828 0.672 0.000
4 Zr 0.328 0.828 0.000
5 Zr 0.672 0.172 0.000
6 Zr 0.172 0.328 0.000
7 Ag 0.125 0.625 0.500
8 Ag 0.875 0.375 0.500
9 Ag 0.625 0.875 0.500
10 Ag 0.375 0.125 0.500

***

Computed, not measured: an optimized crystal structure of ZrGaAg2 at the PBE level of DFT.

Output
- space group = R-3m

Cell lengths 2.945, 2.945, 10.643 Å; angles 82.05, 82.05, 60.00 degrees
Fractional coordinates of all 4 atoms:
1 Zr 0.000 0.000 0.000
2 Ag 0.091 0.091 0.726
3 Ag 0.909 0.909 0.274
4 Ga 0.500 0.500 0.500

***

Computed, not measured: an optimized crystal structure of Zr2Ga2Ag at the PBE level of DFT.

Output
- energy above the most stable polymorph in this dataset (meV/atom) = 0
- space group = P4/mbm

Cell lengths 6.791, 6.791, 4.111 Å; angles 90.00, 90.00, 90.00 degrees
Fractional coordinates of all 10 atoms:
1 Zr 0.169 0.669 0.500
2 Zr 0.669 0.831 0.500
3 Zr 0.331 0.169 0.500
4 Zr 0.831 0.331 0.500
5 Ag 0.500 0.500 0.000
6 Ag 0.000 0.000 0.000
7 Ga 0.133 0.367 0.000
8 Ga 0.867 0.633 0.000
9 Ga 0.633 0.133 0.000
10 Ga 0.367 0.867 0.000

***

Computed, not measured: an optimized crystal structure of ZrGaAg2 at the PBE level of DFT.

Output
- space group = I-42d

Cell lengths 3.993, 3.993, 10.404 Å; angles 78.94, 78.94, 90.00 degrees
Fractional coordinates of all 8 atoms:
1 Ag 0.875 0.864 0.750
2 Ag 0.136 0.625 0.250
3 Ag 0.614 0.125 0.250
4 Ag 0.375 0.386 0.750
5 Ga 0.500 0.500 0.000
6 Ga 0.250 0.750 0.500
7 Zr 0.750 0.250 0.500
8 Zr 0.000 0.000 0.000

***

Computed, not measured: an optimized crystal structure of Zr2Ga2Ag at the PBE level of DFT.

Output
- energy above the most stable polymorph in this dataset (meV/atom) = 36
- space group = C2/m

Cell lengths 4.161, 5.656, 9.012 Å; angles 80.44, 76.65, 68.42 degrees
Fractional coordinates of all 10 atoms:
1 Ga 0.968 0.177 0.888
2 Ga 0.131 0.310 0.427
3 Ga 0.869 0.690 0.573
4 Ga 0.032 0.823 0.112
5 Zr 0.684 0.727 0.905
6 Zr 0.316 0.273 0.095
7 Zr 0.491 0.331 0.686
8 Zr 0.509 0.669 0.314
9 Ag 0.216 0.920 0.647
10 Ag 0.784 0.080 0.353

***

Computed, not measured: an optimized crystal structure of ZrGaAg at the PBE level of DFT.

Output
- space group = C2/m

Cell lengths 3.438, 5.633, 6.460 Å; angles 75.69, 74.57, 72.23 degrees
Fractional coordinates of all 6 atoms:
1 Ag 0.849 0.754 0.549
2 Ag 0.151 0.246 0.451
3 Ga 0.137 0.898 0.827
4 Ga 0.863 0.102 0.173
5 Zr 0.593 0.649 0.166
6 Zr 0.407 0.351 0.834

***

Computed, not measured: an optimized crystal structure of Zr2GaAg2 at the PBE level of DFT.

Output
- energy above the most stable polymorph in this dataset (meV/atom) = 0
- space group = P4/mbm

Cell lengths 6.929, 6.929, 4.189 Å; angles 90.00, 90.00, 90.00 degrees
Fractional coordinates of all 10 atoms:
1 Ga 0.000 0.000 0.000
2 Ga 0.500 0.500 0.000
3 Ag 0.138 0.362 0.000
4 Ag 0.362 0.862 0.000
5 Ag 0.638 0.138 0.000
6 Ag 0.862 0.638 0.000
7 Zr 0.334 0.166 0.500
8 Zr 0.834 0.334 0.500
9 Zr 0.166 0.666 0.500
10 Zr 0.666 0.834 0.500

***

Computed, not measured: an optimized crystal structure of ZrGaAg at the PBE level of DFT.

Output
- space group = P1

Cell lengths 4.618, 7.616, 4.600 Å; angles 53.02, 119.74, 107.06 degrees
Fractional coordinates of all 6 atoms:
1 Zr 0.762 0.755 0.789
2 Zr 0.096 0.427 0.783
3 Ga 0.764 0.241 0.303
4 Ga 0.429 0.613 0.264
5 Ag 0.096 0.943 0.268
6 Ag 0.430 0.114 0.764

***

Computed, not measured: an optimized crystal structure of ZrGaAg at the PBE level of DFT.

Output
- space group = Pnma

Cell lengths 5.683, 4.598, 8.614 Å; angles 90.00, 90.00, 90.00 degrees
Fractional coordinates of all 12 atoms:
1 Ga 0.784 0.750 0.901
2 Ga 0.216 0.250 0.099
3 Ga 0.716 0.250 0.401
4 Ga 0.284 0.750 0.599
5 Ag 0.014 0.250 0.776
6 Ag 0.514 0.250 0.724
7 Ag 0.986 0.750 0.224
8 Ag 0.486 0.750 0.276
9 Zr 0.212 0.250 0.424
10 Zr 0.288 0.750 0.924
11 Zr 0.788 0.750 0.576
12 Zr 0.712 0.250 0.076

***

Computed, not measured: an optimized crystal structure of ZrGaAg at the PBE level of DFT.

Output
- space group = C2

Cell lengths 2.941, 7.869, 5.091 Å; angles 71.12, 90.00, 89.91 degrees
Fractional coordinates of all 6 atoms:
1 Ag 0.141 0.207 0.672
2 Ag 0.641 0.207 0.164
3 Ga 0.640 0.508 0.332
4 Ga 0.641 0.906 0.633
5 Zr 0.144 0.851 0.163
6 Zr 0.138 0.562 0.808

***

Computed, not measured: an optimized crystal structure of Zr6Ga3Ag at the PBE level of DFT.

Output
- space group = P2_1/c

Cell lengths 7.864, 6.848, 7.813 Å; angles 90.00, 89.93, 90.00 degrees
Fractional coordinates of all 20 atoms:
1 Ga 0.540 0.815 0.737
2 Ga 0.460 0.185 0.263
3 Ga 0.960 0.315 0.763
4 Ga 0.000 0.000 0.500
5 Ga 0.040 0.685 0.237
6 Ga 0.500 0.500 0.000
7 Zr 0.157 0.354 0.442
8 Zr 0.678 0.145 0.564
9 Zr 0.178 0.355 0.064
10 Zr 0.699 0.857 0.255
11 Zr 0.199 0.643 0.755
12 Zr 0.301 0.143 0.745
13 Zr 0.657 0.146 0.942
14 Zr 0.322 0.855 0.436
15 Zr 0.822 0.645 0.936
16 Zr 0.843 0.646 0.558
17 Zr 0.343 0.854 0.058
18 Zr 0.801 0.357 0.245
19 Ag 0.000 0.000 0.000
20 Ag 0.500 0.500 0.500

***

Computed, not measured: an optimized crystal structure of ZrGaAg at the PBE level of DFT.

Output
- space group = P2_1

Cell lengths 2.986, 7.567, 5.029 Å; angles 90.00, 90.00, 100.11 degrees
Fractional coordinates of all 6 atoms:
1 Ga 0.233 0.503 0.029
2 Ga 0.448 0.911 0.529
3 Ag 0.593 0.201 0.197
4 Ag 0.088 0.212 0.697
5 Zr 0.729 0.569 0.530
6 Zr 0.952 0.844 0.030

***

Computed, not measured: an optimized crystal structure of ZrGaAg at the PBE level of DFT.

Output
- space group = P-1

Cell lengths 2.954, 7.791, 5.098 Å; angles 75.67, 89.98, 79.19 degrees
Fractional coordinates of all 6 atoms:
1 Ga 0.459 0.905 0.477
2 Ga 0.657 0.508 0.114
3 Ag 0.805 0.210 0.549
4 Ag 0.310 0.203 0.041
5 Zr 0.985 0.852 0.999
6 Zr 0.130 0.561 0.592

***

Computed, not measured: an optimized crystal structure of ZrGaAg at the PBE level of DFT.

Output
- space group = C2/m

Cell lengths 4.383, 3.090, 21.054 Å; angles 125.61, 90.00, 135.17 degrees
Fractional coordinates of all 6 atoms:
1 Ag 0.085 0.171 0.084
2 Ag 0.915 0.829 0.916
3 Ga 0.827 0.654 0.769
4 Ga 0.173 0.346 0.231
5 Zr 0.659 0.317 0.603
6 Zr 0.341 0.683 0.397

***

Computed, not measured: an optimized crystal structure of ZrGaAg at the PBE level of DFT.

Output
- space group = P4/nmm

Cell lengths 3.583, 3.583, 9.331 Å; angles 90.00, 90.00, 90.00 degrees
Fractional coordinates of all 6 atoms:
1 Ag 0.000 0.500 0.420
2 Ag 0.500 0.000 0.580
3 Zr 0.500 0.000 0.249
4 Zr 0.000 0.500 0.751
5 Ga 0.500 0.500 0.000
6 Ga 0.000 0.000 0.000

***

Computed, not measured: an optimized crystal structure of Zr2Ga2Ag at the PBE level of DFT.

Output
- energy above the most stable polymorph in this dataset (meV/atom) = 76
- space group = Immm

Cell lengths 3.944, 5.472, 5.472 Å; angles 62.94, 68.88, 68.88 degrees
Fractional coordinates of all 5 atoms:
1 Zr 0.210 0.290 0.290
2 Zr 0.790 0.710 0.710
3 Ag 0.000 0.000 0.000
4 Ga 0.500 0.284 0.716
5 Ga 0.500 0.716 0.284

***

Computed, not measured: an optimized crystal structure of Zr6GaAg at the PBE level of DFT.

Output
- space group = Pm-3

Cell lengths 7.826, 7.824, 5.530 Å; angles 45.01, 45.00, 60.01 degrees
Fractional coordinates of all 8 atoms:
1 Ag 0.000 0.000 0.000
2 Zr 0.000 0.500 0.249
3 Zr 0.250 0.000 0.249
4 Zr 0.750 0.000 0.751
5 Zr 0.500 0.749 0.751
6 Zr 0.000 0.500 0.751
7 Zr 0.500 0.251 0.249
8 Ga 0.500 0.500 0.500

***

no.,density of states at the Fermi level (states/eV/f.u.),M_tot (μB/atom),calculated formation energy (eV/atom)
1,4.1,0.0000,0.0054
2,3.9,0.0000,0.0218
3,1.8,0.0000,-0.1806
4,3.9,0.0000,0.1156
5,2.4,0.0000,0.2051
6,3.5,0.0000,-0.4555
7,2.2,0.0000,0.0588
8,2.4,0.0000,-0.4198
9,1.3,0.0000,-0.3035
10,4.3,0.0000,-0.0327
11,1.5,0.0000,-0.2648
12,1.1,0.0000,-0.2686
13,2.4,0.0000,-0.2681
14,8.5,0.0000,-0.1504
15,2.2,0.0000,-0.2636
16,2.1,0.0000,-0.2784
17,1.6,0.0000,-0.1741
18,4.9,0.0000,-0.0067
19,3.7,0.0000,-0.3792
20,9.8,0.0000,-0.1777